An optimized crystal structure of TaCdTe3. Source: Alexandria via LeMat-Bulk, functional PBE-GGA.

The structure belongs to space group Pm-3m (No. 221); the cell edges are 5.444, 5.444 and 5.444 Å and the angles 90.00°, 90.00° and 90.00°. The inequivalent atoms are Ta at (0.000, 0.000, 0.000), Cd at (0.500, 0.500, 0.500) and Te at (0.000, 0.000, 0.500).

Its size of the total moment is 0.000 μB/f.u. Its offset from the most stable computed form is 0 meV/atom. The volume is 32.3 Å³ per atom.